LaBeBr2 | PBE | relaxed

abc: 3.605 3.661 8.874
angles: 90.00 101.70 90.00
Space group Pm (No. 6)
One atom of each set of equivalent atoms:
La1 0.000 0.000 0.000 (multiplicity 1)
Be1 0.604 0.500 0.210 (multiplicity 1)
Br1 0.391 0.500 0.781 (multiplicity 1)
Br2 0.677 0.000 0.358 (multiplicity 1)

Summary:
E_form (uncorrected) = -0.793 eV per atom
Polymorph energy (0 for the lowest one) = 0 meV per atom
DOS(E_F) = 0.50 states/eV/atom


AlP2 | PBE | relaxed

abc: 7.473 8.407 13.975
angles: 90.00 90.00 90.00
Space group Ibca (No. 73)
One atom of each set of equivalent atoms:
Al1 0.202 0.121 0.120 (multiplicity 16)
P1 0.000 0.000 0.000 (multiplicity 8)
P2 0.000 0.250 0.228 (multiplicity 8)
P3 0.134 0.000 0.750 (multiplicity 8)
P4 0.250 0.182 0.500 (multiplicity 8)

Summary:
ΔE_f = 0.029 eV per atom
DOS(E_F) = 0.36 states/eV/atom


CaCd2FeNi | PBE | relaxed

abc: 4.949 4.949 4.978
angles: 90.00 90.00 90.00
Space group P4/mmm (No. 123)
One atom of each set of equivalent atoms:
Ca1 0.000 0.000 0.000 (multiplicity 1)
Cd1 0.000 0.500 0.500 (multiplicity 2)
Fe1 0.500 0.500 0.000 (multiplicity 1)
Ni1 0.000 0.000 0.500 (multiplicity 1)

Summary:
ΔE_f = 0.553 eV per atom
DOS(E_F) = 1.24 states/eV/atom


AcScNiRh | PBE | relaxed

abc: 6.953 6.953 6.953
angles: 90.00 90.00 90.00
Space group F-43m (No. 216)
One atom of each set of equivalent atoms:
Ac1 0.000 0.000 0.000 (multiplicity 4)
Sc1 0.000 0.000 0.500 (multiplicity 4)
Ni1 0.250 0.250 0.250 (multiplicity 4)
Rh1 0.250 0.250 0.750 (multiplicity 4)

Summary:
ΔE_f = -0.372 eV per atom
DOS(E_F) = 0.78 states/eV/atom


Dy2FeGe3Pt4 | PBE | relaxed

abc: 4.198 4.198 10.440
angles: 90.00 90.00 90.00
Space group P-4m2 (No. 115)
One atom of each set of equivalent atoms:
Dy1 0.000 0.500 0.245 (multiplicity 2)
Fe1 0.500 0.500 0.000 (multiplicity 1)
Ge1 0.000 0.000 0.000 (multiplicity 1)
Ge2 0.000 0.500 0.638 (multiplicity 2)
Pt1 0.000 0.000 0.500 (multiplicity 1)
Pt2 0.000 0.500 0.868 (multiplicity 2)
Pt3 0.500 0.500 0.500 (multiplicity 1)

Summary:
ΔE_f = -0.808 eV per atom
DOS(E_F) = 0.56 states/eV/atom


Ca2Cd2Au3 | PBE | relaxed

abc: 10.196 4.494 7.535
angles: 90.00 108.99 90.00
Space group C2/m (No. 12)
One atom of each set of equivalent atoms:
Ca1 0.140 0.000 0.296 (multiplicity 4)
Cd1 0.122 0.500 0.935 (multiplicity 4)
Au1 0.000 0.500 0.500 (multiplicity 2)
Au2 0.158 0.000 0.712 (multiplicity 4)

Summary:
ΔE_f = -0.573 eV per atom
DOS(E_F) = 0.48 states/eV/atom


ThNi3H6 | PBE | relaxed

abc: 4.4916 4.4916 14.5673
angles: 90.00 90.00 120.00
Space group R3 (No. 146, hexagonal axes)
One atom of each set of equivalent atoms:
Th1 0.0000 0.0000 0.0000 (multiplicity 3)
Ni1 0.0000 0.0000 0.2115 (multiplicity 3)
Ni2 0.0000 0.0000 0.5285 (multiplicity 3)
Ni3 0.0000 0.0000 0.7992 (multiplicity 3)
H1 0.0007 0.3602 0.7997 (multiplicity 9)
H2 0.1651 0.8226 0.2761 (multiplicity 9)

Summary:
DOS(E_F) = 0.21 states/eV/atom
Energy = -4.75 eV/atom


BeZn2Hg | PBE | relaxed

abc: 2.735 5.723 8.659
angles: 90.00 90.00 90.00
Space group Cmm2 (No. 35)
One atom of each set of equivalent atoms:
Be1 0.000 0.000 0.000 (multiplicity 2)
Zn1 0.000 0.000 0.530 (multiplicity 2)
Zn2 0.000 0.500 0.782 (multiplicity 2)
Hg1 0.000 0.500 0.244 (multiplicity 2)

Summary:
ΔE_f = 0.316 eV per atom
Polymorph energy (0 for the lowest one) = 100 meV per atom
DOS(E_F) = 0.21 states/eV/atom


Cs3TiCl6 | PBE | relaxed

abc: 12.7513 12.7513 16.3730
angles: 90.00 90.00 120.00
Space group R-3c (No. 167, hexagonal axes)
One atom of each set of equivalent atoms:
Cs1 0.0000 0.3488 0.2500 (multiplicity 18)
Ti1 0.0000 0.0000 0.0000 (multiplicity 6)
Cl1 0.0124 0.1631 0.4130 (multiplicity 36)

Summary:
E_form (uncorrected) = -1.867 eV per atom
Polymorph energy (0 for the lowest one) = 0 meV per atom
DOS(E_F) = 0.70 states/eV/atom